1.
The following is a GGA-PBE calculation of a geometry-optimized BaMg2Hg6 structure, from Alexandria.

Unit cell a=13.3803 b=13.3803 c=13.3803 alpha=90.00 beta=90.00 gamma=90.00
Last column: nearest neighbours and their distance in Å.
Space group Fd-3m (No. 227, origin choice 2)
Unique sites:
Ba1 0.1250 0.1250 0.1250 (multiplicity 8)  6 Hg 3.46
Mg1 0.0000 0.0000 0.5000 (multiplicity 16)  6 Hg 2.83
Hg1 0.1161 0.3750 0.8750 (multiplicity 48)  2 Mg 2.83

Calculated values
**Crystal system**: cubic
**Uncorrected energy**: -59.16 eV for the cell shown

=====

2.
The following is a GGA-PBE calculation of a geometry-optimized RbEu3 structure, from Alexandria.

Unit cell a=9.4813 b=9.4813 c=9.4813 alpha=90.00 beta=90.00 gamma=90.00
Last column: nearest neighbours and their distance in Å.
Space group Fm-3m (No. 225)
Unique sites:
Rb1 0.0000 0.0000 0.0000 (multiplicity 4)  8 Eu 4.11
Eu1 0.0000 0.0000 0.5000 (multiplicity 4)  8 Eu 4.11
Eu2 0.2500 0.2500 0.2500 (multiplicity 8)  4 Rb 4.11, 4 Eu 4.11

Calculated values
**Crystal system**: cubic
**Uncorrected energy**: -122.65 eV for the cell shown

=====

3.
The following is a GGA-PBE calculation of a geometry-optimized ZnSiN2 structure, from Alexandria.

Unit cell a=5.5254 b=11.6277 c=5.6379 alpha=90.00 beta=90.00 gamma=90.00
Last column: nearest neighbours and their distance in Å.
Space group Cmce (No. 64)
Unique sites:
Zn1 0.0000 0.1716 0.0707 (multiplicity 8)  1 N 1.89
Si1 0.0000 0.0797 0.6342 (multiplicity 8)  4 N 1.72-1.78
N1 0.0000 0.0683 0.3300 (multiplicity 8)  2 Si 1.72-1.73, 1 Zn 1.89
N2 0.2500 0.1578 0.7500 (multiplicity 8)  2 Si 1.78

Calculated values
**Crystal system**: orthorhombic
**E_form (uncorrected)**: -0.322 eV/atom

=====

4.
The following is a GGA-PBE calculation of a geometry-optimized CeMnFeAs2 structure, from Alexandria.

Unit cell a=4.0580 b=4.0580 c=10.0106 alpha=90.00 beta=90.00 gamma=90.00
Last column: nearest neighbours and their distance in Å.
Space group I-4m2 (No. 119)
Unique sites:
Ce1 0.0000 0.0000 0.0000 (multiplicity 2)  8 As 3.18, 4 Fe 3.22, 4 Mn 3.22
Mn1 0.0000 0.5000 0.7500 (multiplicity 2)  4 As 2.32
Fe1 0.0000 0.5000 0.2500 (multiplicity 2)  4 As 2.32
As1 0.0000 0.0000 0.3629 (multiplicity 4)  2 Mn 2.32, 2 Fe 2.32

Calculated values
**Crystal system**: tetragonal
**Uncorrected energy**: -71.96 eV for the cell shown

=====

5.
The following is a GGA-PBE calculation of a geometry-optimized YZn2Ru structure, from Alexandria.

Unit cell a=4.0863 b=4.0863 c=19.0103 alpha=90.00 beta=90.00 gamma=90.00
Last column: nearest neighbours and their distance in Å.
Space group I-42d (No. 122)
Unique sites:
Y1 0.0000 0.0000 0.0000 (multiplicity 4)  4 Ru 2.89, 4 Zn 2.95
Zn1 0.1541 0.2500 0.6250 (multiplicity 8)  2 Zn 2.40, 2 Ru 2.66
Ru1 0.0000 0.0000 0.5000 (multiplicity 4)  4 Zn 2.66, 4 Y 2.89

Calculated values
**Crystal system**: tetragonal
**Uncorrected energy**: -72.63 eV for the cell shown

=====

6.
The following is a GGA-PBE calculation of a geometry-optimized Cs5Al2Te5 structure, from Alexandria.

Unit cell a=16.9047 b=5.0135 c=12.9329 alpha=90.00 beta=99.04 gamma=90.00
Last column: nearest neighbours and their distance in Å.
Space group C2/m (No. 12)
Unique sites:
Cs1 0.0000 0.0000 0.0000 (multiplicity 2)  6 Te 3.88-3.95
Cs2 0.1516 0.0000 0.5973 (multiplicity 4)  5 Te 3.66-4.10, 1 Cs 3.93
Cs3 0.2138 0.5000 0.1259 (multiplicity 4)  5 Te 3.88-3.92, 1 Cs 3.93, 1 Al 4.11
Al1 0.0293 0.5000 0.2984 (multiplicity 4)  4 Te 2.67-2.85
Te1 0.0000 0.5000 0.5000 (multiplicity 2)  2 Al 2.73
Te2 0.1073 0.0000 0.2880 (multiplicity 4)  2 Al 2.85
Te3 0.1089 0.5000 0.8333 (multiplicity 4)  1 Al 2.67

Calculated values
**Crystal system**: monoclinic
**E_form (uncorrected)**: -0.807 eV/atom

=====

| no. | M_tot (μB/cell) |
| --- | --- |
| 1 | 0.00 |
| 2 | 31.20 |
| 3 | 0.00 |
| 4 | 0.76 |
| 5 | 0.00 |
| 6 | 0.00 |